a.
Re4BiO12 | the Alexandria database | GGA-PBE | relaxed; total magnetization = 0.00 μB/cell; N(E_F) = 8.3 states/eV per cell
1.0
6.245 -0.018 -2.305
-3.086 5.476 -2.192
-0.050 0.018 6.656
O Re Bi
12 4 1
Cartesian
2.547 4.078 0.069
0.564 4.088 2.079
1.522 0.237 4.418
0.137 2.734 -0.194
5.256 1.388 1.985
2.545 1.388 0.080
1.586 5.239 -2.258
-2.147 4.088 0.175
4.088 1.379 -2.124
0.561 1.398 2.090
-0.979 4.096 4.283
2.972 2.742 2.354
-0.025 0.009 3.328
1.554 2.738 1.080
-1.543 2.738 -1.096
3.122 -0.009 -1.152
-1.568 2.747 2.232

***

b.
Re4BiO12 | the Alexandria database | GGA-PBE | relaxed; total magnetization = 0.00 μB/cell; N(E_F) = 2.5 states/eV per cell
1.0
-2.177 -1.076 -3.897
4.078 4.167 -1.538
7.558 -8.076 -2.035
O Re Bi
12 4 1
Cartesian
9.265 -2.408 -3.809
0.391 -1.950 -3.240
2.951 0.009 -4.075
3.318 -2.210 -2.173
6.670 -2.558 -3.554
5.372 -0.217 -3.018
8.606 -4.927 -5.424
5.896 -6.921 -5.449
6.174 -1.487 -5.828
4.451 -4.490 -3.779
-0.155 -0.246 -0.607
1.662 0.100 -4.812
1.577 -2.651 -1.965
8.573 -3.707 -6.660
2.817 1.510 -5.454
7.699 -1.832 -4.907
4.537 -2.057 -4.148

***

Stability summary - winner: a; margin: 35.5 kJ/mol of atoms.